1.
{
  "formula": "La3Pr2TaN6",
  "functional": "PBE",
  "state": "relaxed",
  "magnetic_moment_mub_per_atom": 0.000,
  "dos_at_fermi_per_ev_fu": 2.34,
  "e_form_raw_mev_per_atom": -1288,
  "space_group": "C2/m, No. 12",
  "cell": [[6.2194, -0.0007, 0.0064], [-3.1088, 5.3867, 0.0064], [-1.0317, -1.7863, 5.8576]],
  "species": ["La", "La", "La", "Pr", "Pr", "Ta", "N", "N", "N", "N", "N", "N"],
  "frac_coords": [[0.1642, 0.8358, 0.5000], [0.8358, 0.1642, 0.5000], [0.5000, 0.5000, 0.5000], [0.3328, 0.6672, 0.0000], [0.6672, 0.3328, 0.0000], [0.0000, 0.0000, 0.0000], [0.9265, 0.6377, 0.7812], [0.7831, 0.7831, 0.2278], [0.0735, 0.3623, 0.2188], [0.6377, 0.9265, 0.7812], [0.2169, 0.2169, 0.7722], [0.3623, 0.0735, 0.2188]]
}


2.
{
  "formula": "La2PrTaN4",
  "functional": "PBE",
  "state": "relaxed",
  "magnetic_moment_mub_per_atom": 0.000,
  "dos_at_fermi_per_ev_fu": 2.37,
  "e_form_raw_mev_per_atom": -1222,
  "space_group": "Imma, No. 74",
  "cell": [[-2.5487, -0.7910, -6.5577], [5.6669, -3.8968, -1.6819], [-4.0159, -1.7099, 5.6777]],
  "species": ["La", "La", "La", "La", "Pr", "Pr", "Ta", "Ta", "N", "N", "N", "N", "N", "N", "N", "N"],
  "frac_coords": [[0.5000, 0.0000, 0.0000], [0.5000, 0.0000, 0.5000], [0.0000, 0.0000, 0.5000], [0.5000, 0.5000, 0.0000], [0.0000, 0.5000, 0.0000], [0.0000, 0.5000, 0.5000], [0.5000, 0.5000, 0.5000], [0.0000, 0.0000, 0.0000], [0.2131, 0.7858, 0.9995], [0.7142, 0.2869, 0.5005], [0.2858, 0.7131, 0.4995], [0.7869, 0.2142, 0.0005], [0.7499, 0.7499, 0.9593], [0.7501, 0.7502, 0.5408], [0.2499, 0.2499, 0.4593], [0.2501, 0.2501, 0.0407]]
}


3.
{
  "formula": "LaPrTeN",
  "functional": "PBE",
  "state": "relaxed",
  "magnetic_moment_mub_per_atom": 0.245,
  "dos_at_fermi_per_ev_fu": 1.19,
  "e_form_raw_mev_per_atom": -1362,
  "space_group": "Imm2, No. 44",
  "cell": [[3.9773, 0.0000, 0.0000], [0.0000, 3.9650, -0.0076], [-1.9886, -1.9700, 6.7869]],
  "species": ["La", "Pr", "Te", "N"],
  "frac_coords": [[0.9739, 0.4322, 0.9479], [0.6718, 0.1300, 0.3435], [0.3188, 0.7771, 0.6377], [0.5703, 0.5286, 0.1406]]
}


4.
{
  "formula": "LaPrTh2N4",
  "functional": "PBE",
  "state": "relaxed",
  "magnetic_moment_mub_per_atom": 0.000,
  "dos_at_fermi_per_ev_fu": 3.44,
  "e_form_raw_mev_per_atom": -1499,
  "space_group": "P2/m, No. 10",
  "cell": [[-2.9823, 1.0401, -1.9169], [0.0750, -5.5669, -3.1373], [-3.5831, -0.5718, 5.2643]],
  "species": ["La", "Pr", "Th", "Th", "N", "N", "N", "N"],
  "frac_coords": [[0.5000, 0.5000, 0.0000], [0.0000, 0.0000, 0.0000], [0.5000, 0.0000, 0.5000], [0.0000, 0.5000, 0.5000], [0.5000, 0.2567, 0.2717], [0.5000, 0.7433, 0.7283], [0.0000, 0.2420, 0.7272], [0.0000, 0.7580, 0.2728]]
}


5.
{
  "formula": "La3PrTh2N6",
  "functional": "PBE",
  "state": "relaxed",
  "magnetic_moment_mub_per_atom": 0.000,
  "dos_at_fermi_per_ev_fu": 2.18,
  "e_form_raw_mev_per_atom": -1465,
  "space_group": "C2/m, No. 12",
  "cell": [[6.4178, 0.0002, 0.0009], [-3.2072, 5.5590, 0.0009], [-1.0703, -1.8532, 6.0653]],
  "species": ["La", "La", "La", "Pr", "Th", "Th", "N", "N", "N", "N", "N", "N"],
  "frac_coords": [[0.1657, 0.8343, 0.5000], [0.8343, 0.1657, 0.5000], [0.5000, 0.5000, 0.5000], [0.0000, 0.0000, 0.0000], [0.3332, 0.6668, 0.0000], [0.6668, 0.3332, 0.0000], [0.9217, 0.5761, 0.7653], [0.7315, 0.7315, 0.2331], [0.0783, 0.4239, 0.2347], [0.5761, 0.9217, 0.7653], [0.2685, 0.2685, 0.7669], [0.4239, 0.0783, 0.2347]]
}


6.
{
  "formula": "LaPrThN3",
  "functional": "PBE",
  "state": "relaxed",
  "magnetic_moment_mub_per_atom": 0.000,
  "dos_at_fermi_per_ev_fu": 2.69,
  "e_form_raw_mev_per_atom": -1306,
  "space_group": "P2_1/m, No. 11",
  "cell": [[3.5565, 0.0000, 0.0000], [0.0000, 6.1917, 0.7510], [0.0000, -1.7275, 9.6939]],
  "species": ["La", "La", "Pr", "Pr", "Th", "Th", "N", "N", "N", "N", "N", "N"],
  "frac_coords": [[0.2500, 0.2003, 0.6143], [0.7500, 0.7997, 0.3857], [0.7500, 0.7324, 0.7400], [0.2500, 0.2676, 0.2600], [0.2500, 0.7544, 0.0564], [0.7500, 0.2456, 0.9436], [0.2500, 0.7951, 0.5489], [0.7500, 0.0104, 0.1412], [0.7500, 0.5161, 0.1484], [0.7500, 0.2049, 0.4511], [0.2500, 0.4839, 0.8516], [0.2500, 0.9896, 0.8588]]
}


7.
{
  "formula": "La2PrTlN",
  "functional": "PBE",
  "state": "relaxed",
  "magnetic_moment_mub_per_atom": 0.000,
  "dos_at_fermi_per_ev_fu": 2.74,
  "e_form_raw_mev_per_atom": -822,
  "space_group": "P4/mmm, No. 123",
  "cell": [[-1.9292, 4.1535, -2.3438], [1.0378, -2.0855, -4.5498], [-4.6234, -2.1790, -0.0558]],
  "species": ["La", "La", "Pr", "Tl", "N"],
  "frac_coords": [[0.0000, 0.0000, 0.5000], [0.0000, 0.5000, 0.0000], [0.5000, 0.0000, 0.0000], [0.5000, 0.5000, 0.5000], [0.0000, 0.0000, 0.0000]]
}


8.
{
  "formula": "LaPr2TlN",
  "functional": "PBE",
  "state": "relaxed",
  "magnetic_moment_mub_per_atom": 0.000,
  "dos_at_fermi_per_ev_fu": 2.74,
  "e_form_raw_mev_per_atom": -801,
  "space_group": "P4/mmm, No. 123",
  "cell": [[-4.3780, -1.1652, -2.3070], [-1.0351, -3.3999, 3.6817], [-2.3866, 3.6401, 2.6905]],
  "species": ["La", "Pr", "Pr", "Tl", "N"],
  "frac_coords": [[0.5000, 0.0000, 0.0000], [0.0000, 0.0000, 0.5000], [0.0000, 0.5000, 0.0000], [0.5000, 0.5000, 0.5000], [0.0000, 0.0000, 0.0000]]
}


9.
{
  "formula": "La2Pr3UN6",
  "functional": "PBE",
  "state": "relaxed",
  "magnetic_moment_mub_per_atom": 0.000,
  "dos_at_fermi_per_ev_fu": 5.67,
  "e_form_raw_mev_per_atom": -1384,
  "space_group": "C2/m, No. 12",
  "cell": [[-1.2763, -6.2054, 0.2775], [4.8166, 2.3988, 3.3555], [-4.8381, 2.2241, 3.3596]],
  "species": ["La", "La", "Pr", "Pr", "Pr", "U", "N", "N", "N", "N", "N", "N"],
  "frac_coords": [[0.3335, 0.6665, 0.0000], [0.6665, 0.3335, 0.0000], [0.1643, 0.8357, 0.5000], [0.8357, 0.1643, 0.5000], [0.5000, 0.5000, 0.5000], [0.0000, 0.0000, 0.0000], [0.9249, 0.6331, 0.7758], [0.7794, 0.7794, 0.2320], [0.0751, 0.3669, 0.2242], [0.6331, 0.9249, 0.7758], [0.2206, 0.2206, 0.7680], [0.3669, 0.0751, 0.2242]]
}


10.
{
  "formula": "La3Pr2UN6",
  "functional": "PBE",
  "state": "relaxed",
  "magnetic_moment_mub_per_atom": 0.000,
  "dos_at_fermi_per_ev_fu": 5.62,
  "e_form_raw_mev_per_atom": -1399,
  "space_group": "C2/m, No. 12",
  "cell": [[-0.4709, 5.0475, 3.7740], [0.9816, -5.7227, 2.4960], [5.7472, 1.0686, -2.4733]],
  "species": ["La", "La", "La", "Pr", "Pr", "U", "N", "N", "N", "N", "N", "N"],
  "frac_coords": [[0.1661, 0.8339, 0.5000], [0.8339, 0.1661, 0.5000], [0.5000, 0.5000, 0.5000], [0.3335, 0.6665, 0.0000], [0.6665, 0.3335, 0.0000], [0.0000, 0.0000, 0.0000], [0.9257, 0.6338, 0.7782], [0.7800, 0.7800, 0.2294], [0.0743, 0.3662, 0.2218], [0.6338, 0.9257, 0.7782], [0.2200, 0.2200, 0.7706], [0.3662, 0.0743, 0.2218]]
}


11.
{
  "formula": "La2PrUN4",
  "functional": "PBE",
  "state": "relaxed",
  "magnetic_moment_mub_per_atom": 0.000,
  "dos_at_fermi_per_ev_fu": 5.50,
  "e_form_raw_mev_per_atom": -1380,
  "space_group": "P2/m, No. 10",
  "cell": [[3.6236, 0.0000, 0.0000], [0.0000, 6.2589, 0.1156], [0.0000, -2.1817, 5.9345]],
  "species": ["La", "La", "Pr", "U", "N", "N", "N", "N"],
  "frac_coords": [[0.5000, 0.0000, 0.5000], [0.0000, 0.5000, 0.5000], [0.5000, 0.5000, 0.0000], [0.0000, 0.0000, 0.0000], [0.5000, 0.2089, 0.2079], [0.5000, 0.7911, 0.7921], [0.0000, 0.2167, 0.7863], [0.0000, 0.7833, 0.2137]]
}


12.
{
  "formula": "LaPr2UN4",
  "functional": "PBE",
  "state": "relaxed",
  "magnetic_moment_mub_per_atom": 0.000,
  "dos_at_fermi_per_ev_fu": 5.45,
  "e_form_raw_mev_per_atom": -1367,
  "space_group": "P2/m, No. 10",
  "cell": [[-2.0619, -2.9254, 0.5186], [3.6914, -3.2938, -3.9032], [2.2002, -0.5186, 5.8219]],
  "species": ["La", "Pr", "Pr", "U", "N", "N", "N", "N"],
  "frac_coords": [[0.5000, 0.5000, 0.0000], [0.5000, 0.0000, 0.5000], [0.0000, 0.5000, 0.5000], [0.0000, 0.0000, 0.0000], [0.5000, 0.2100, 0.2110], [0.5000, 0.7900, 0.7890], [0.0000, 0.2149, 0.7820], [0.0000, 0.7851, 0.2180]]
}